Record 1
## CsCrMo2 (PBE)

Data for crystalline CsCrMo2 at its relaxed geometry. Values from VASP.

Results
DFT total energy   -6.141 eV per atom
Crystal system   cubic

```
&SYSTEM
  ibrav = 0, nat = 4, ntyp = 3
/
ATOMIC_SPECIES
Mo 95.94 Mo.upf
Cr 52.00 Cr.upf
Cs 132.91 Cs.upf
CELL_PARAMETERS angstrom
0.000 3.306 3.306
3.306 0.000 3.306
3.306 3.306 0.000
ATOMIC_POSITIONS crystal
Mo 0.250 0.250 0.250
Mo 0.750 0.750 0.750
Cr 0.000 0.000 0.000
Cs 0.500 0.500 0.500
```

Record 2
## Sm3Al3Au8 (PBE)

Data for crystalline Sm3Al3Au8 at its relaxed geometry. Values from VASP.

Results
ΔE to the lowest computed polymorph   57 meV/atom
DFT total energy   -4.341 eV per atom
Crystal system   orthorhombic

```
&SYSTEM
  ibrav = 0, nat = 14, ntyp = 3
/
ATOMIC_SPECIES
Au 196.97 Au.upf
Al 26.98 Al.upf
Sm 150.36 Sm.upf
CELL_PARAMETERS angstrom
-0.359 -3.468 -2.832
-3.708 -6.176 4.470
-8.183 -0.265 -2.200
ATOMIC_POSITIONS crystal
Au 0.156 0.482 0.207
Au 0.156 0.207 0.482
Au 0.377 0.324 0.923
Au 0.623 0.077 0.676
Au 0.623 0.676 0.077
Au 0.377 0.923 0.324
Au 0.844 0.793 0.518
Au 0.844 0.518 0.793
Al 0.000 0.803 0.197
Al 0.000 0.197 0.803
Al 0.500 0.000 0.000
Sm 0.797 0.203 0.203
Sm 0.203 0.797 0.797
Sm 0.500 0.500 0.500
```

Record 3
## PmPr2DyAs4 (PBE)

Data for crystalline PmPr2DyAs4 at its relaxed geometry. Values from VASP.

Results
DFT total energy   -6.198 eV per atom
Crystal system   monoclinic

```
&SYSTEM
  ibrav = 0, nat = 8, ntyp = 4
/
ATOMIC_SPECIES
Pr 140.91 Pr.upf
Pm 145.00 Pm.upf
As 74.92 As.upf
Dy 162.50 Dy.upf
CELL_PARAMETERS angstrom
-1.947 1.303 3.543
1.174 -6.575 3.064
6.450 0.056 3.525
ATOMIC_POSITIONS crystal
Pr 0.000 0.000 0.000
Pr 0.500 0.000 0.500
Pm 0.500 0.500 0.000
As 0.500 0.741 0.256
As 0.500 0.259 0.744
As 0.000 0.743 0.749
As 0.000 0.257 0.251
Dy 0.000 0.500 0.500
```

Record 4
## TbNdDy2Ho (PBE)

Data for crystalline TbNdDy2Ho at its relaxed geometry. Values from VASP.

Results
DFT total energy   -4.249 eV per atom
Crystal system   orthorhombic

```
&SYSTEM
  ibrav = 0, nat = 10, ntyp = 4
/
ATOMIC_SPECIES
Ho 164.93 Ho.upf
Tb 158.93 Tb.upf
Dy 162.50 Dy.upf
Nd 144.24 Nd.upf
CELL_PARAMETERS angstrom
-4.342 0.346 -5.719
-6.532 -2.157 4.829
2.251 6.625 -1.308
ATOMIC_POSITIONS crystal
Ho 0.750 0.725 0.450
Ho 0.250 0.275 0.550
Tb 0.250 0.996 0.992
Tb 0.750 0.004 0.008
Dy 0.500 0.310 0.000
Dy 0.500 0.690 0.000
Dy 0.000 0.310 0.000
Dy 0.000 0.690 0.000
Nd 0.250 0.727 0.453
Nd 0.750 0.273 0.547
```

These records have total magnetic moment values of 1.63, 0.00, 0.00, 0.00 Bohr magnetons per cell, in the order they appear.
These records have volume values of 18.069, 20.729, 27.038, 34.718 Å³ per atom, in the order they appear.